{
  "formula": "YSn2Rh2",
  "functional": "PBE-GGA",
  "state": "optimized geometry",
  "magnetic_moment_mub_per_fu": 0.00,
  "formation_enthalpy_0k_mev_per_atom": -537,
  "spacegroup": "P4/mbm, No. 127",
  "lattice_angstrom": [[7.686, 0.000, 0.000], [0.000, 7.686, 0.000], [0.000, 0.000, 3.349]],
  "species": ["Y", "Y", "Sn", "Sn", "Sn", "Sn", "Rh", "Rh", "Rh", "Rh"],
  "frac_coords": [[0.000, 0.000, 0.000], [0.500, 0.500, 0.000], [0.156, 0.344, 0.500], [0.344, 0.844, 0.500], [0.656, 0.156, 0.500], [0.844, 0.656, 0.500], [0.136, 0.636, 0.000], [0.364, 0.136, 0.000], [0.636, 0.864, 0.000], [0.864, 0.364, 0.000]]
}



{
  "formula": "Sm6NpTe8",
  "functional": "PBE-GGA",
  "state": "optimized geometry",
  "magnetic_moment_mub_per_fu": 5.10,
  "e_form_raw_mev_per_atom": -1304,
  "spacegroup": "Fm-3m, No. 225",
  "lattice_angstrom": [[0.000, 6.264, 6.264], [6.264, 0.000, 6.264], [6.264, 6.264, 0.000]],
  "species": ["Sm", "Sm", "Sm", "Sm", "Sm", "Sm", "Np", "Te", "Te", "Te", "Te", "Te", "Te", "Te", "Te"],
  "frac_coords": [[0.000, 0.000, 0.500], [0.000, 0.500, 0.000], [0.000, 0.500, 0.500], [0.500, 0.000, 0.000], [0.500, 0.000, 0.500], [0.500, 0.500, 0.000], [0.000, 0.000, 0.000], [0.250, 0.250, 0.250], [0.254, 0.254, 0.746], [0.254, 0.746, 0.254], [0.254, 0.746, 0.746], [0.746, 0.254, 0.254], [0.746, 0.254, 0.746], [0.746, 0.746, 0.254], [0.750, 0.750, 0.750]]
}



{
  "formula": "VC2Cl",
  "functional": "PBE-GGA",
  "state": "optimized geometry",
  "magnetic_moment_mub_per_fu": 0.50,
  "e_form_raw_mev_per_atom": 2481,
  "spacegroup": "Fm-3m, No. 225",
  "lattice_angstrom": [[0.000, 2.764, 2.764], [2.764, 0.000, 2.764], [2.764, 2.764, 0.000]],
  "species": ["V", "C", "C", "Cl"],
  "frac_coords": [[0.000, 0.000, 0.000], [0.250, 0.250, 0.250], [0.750, 0.750, 0.750], [0.500, 0.500, 0.500]]
}



{
  "formula": "CePrNiAg",
  "functional": "PBE-GGA",
  "state": "optimized geometry",
  "magnetic_moment_mub_per_fu": 0.87,
  "formation_enthalpy_0k_mev_per_atom": -106,
  "spacegroup": "F-43m, No. 216",
  "lattice_angstrom": [[0.000, 3.630, 3.630], [3.630, 0.000, 3.630], [3.630, 3.630, 0.000]],
  "species": ["Ce", "Pr", "Ni", "Ag"],
  "frac_coords": [[0.000, 0.000, 0.000], [0.500, 0.500, 0.500], [0.750, 0.750, 0.750], [0.250, 0.250, 0.250]]
}



{
  "formula": "PmNdErTm",
  "functional": "PBE-GGA",
  "state": "optimized geometry",
  "magnetic_moment_mub_per_fu": 0.00,
  "formation_enthalpy_0k_mev_per_atom": 20,
  "spacegroup": "R3m, No. 160",
  "lattice_angstrom": [[1.801, 1.040, 11.581], [-1.801, 1.040, 11.581], [0.000, -2.080, 11.581]],
  "species": ["Pm", "Nd", "Er", "Tm"],
  "frac_coords": [[0.000, 0.000, 0.000], [0.166, 0.166, 0.166], [0.750, 0.750, 0.750], [0.583, 0.583, 0.583]]
}



{
  "formula": "Ce2GaPt3",
  "functional": "PBE-GGA",
  "state": "optimized geometry",
  "magnetic_moment_mub_per_fu": 1.04,
  "formation_enthalpy_0k_mev_per_atom": -957,
  "spacegroup": "P6_3/mmc, No. 194",
  "lattice_angstrom": [[4.492, 0.000, 0.000], [-2.246, 3.891, 0.000], [0.000, 0.000, 14.551]],
  "species": ["Ce", "Ce", "Ce", "Ce", "Ga", "Ga", "Pt", "Pt", "Pt", "Pt", "Pt", "Pt"],
  "frac_coords": [[0.000, 0.000, 0.124], [0.000, 0.000, 0.376], [0.000, 0.000, 0.624], [0.000, 0.000, 0.876], [0.333, 0.667, 0.250], [0.667, 0.333, 0.750], [0.333, 0.667, 0.030], [0.333, 0.667, 0.470], [0.333, 0.667, 0.750], [0.667, 0.333, 0.250], [0.667, 0.333, 0.530], [0.667, 0.333, 0.970]]
}



{
  "formula": "Cr5Os",
  "functional": "PBE-GGA",
  "state": "optimized geometry",
  "magnetic_moment_mub_per_fu": 0.00,
  "formation_enthalpy_0k_mev_per_atom": 33,
  "spacegroup": "C2/m, No. 12",
  "lattice_angstrom": [[4.574, -1.442, 0.000], [4.574, 1.442, 0.000], [-1.846, 0.000, 5.506]],
  "species": ["Cr", "Cr", "Cr", "Cr", "Cr", "Os"],
  "frac_coords": [[0.000, 0.000, 0.000], [0.327, 0.327, 0.673], [0.330, 0.330, 0.156], [0.670, 0.670, 0.844], [0.673, 0.673, 0.327], [0.000, 0.000, 0.500]]
}



{
  "formula": "Cu2AgSb",
  "functional": "PBE-GGA",
  "state": "optimized geometry",
  "magnetic_moment_mub_per_fu": 0.00,
  "e_form_raw_mev_per_atom": 244,
  "spacegroup": "F-43m, No. 216",
  "lattice_angstrom": [[0.000, 3.252, 3.252], [3.252, 0.000, 3.252], [3.252, 3.252, 0.000]],
  "species": ["Cu", "Cu", "Ag", "Sb"],
  "frac_coords": [[0.000, 0.000, 0.000], [0.250, 0.250, 0.250], [0.750, 0.750, 0.750], [0.500, 0.500, 0.500]]
}



{
  "formula": "TbMnCd",
  "functional": "PBE-GGA",
  "state": "optimized geometry",
  "magnetic_moment_mub_per_fu": 0.00,
  "formation_enthalpy_0k_mev_per_atom": 2,
  "spacegroup": "C2/m, No. 12",
  "lattice_angstrom": [[6.981, -1.760, 0.000], [6.981, 1.760, 0.000], [-1.209, 0.000, 5.194]],
  "species": ["Tb", "Tb", "Mn", "Mn", "Cd", "Cd"],
  "frac_coords": [[0.133, 0.133, 0.323], [0.867, 0.867, 0.677], [0.235, 0.235, 0.888], [0.765, 0.765, 0.112], [0.429, 0.429, 0.209], [0.571, 0.571, 0.791]]
}



{
  "formula": "Cs2LiH6Ir",
  "functional": "PBE-GGA",
  "state": "optimized geometry",
  "magnetic_moment_mub_per_fu": 0.12,
  "spacegroup": "P-3m1, No. 164",
  "dft_energy_ev_per_cell": -37.07,
  "lattice_angstrom": [[6.262, 0.000, 0.000], [-3.131, 5.423, 0.000], [0.000, 0.000, 4.968]],
  "species": ["Cs", "Cs", "Li", "H", "H", "H", "H", "H", "H", "Ir"],
  "frac_coords": [[0.333, 0.667, 0.258], [0.667, 0.333, 0.742], [0.000, 0.000, 0.500], [0.128, 0.256, 0.803], [0.128, 0.872, 0.803], [0.256, 0.128, 0.197], [0.744, 0.872, 0.803], [0.872, 0.128, 0.197], [0.872, 0.744, 0.197], [0.000, 0.000, 0.000]]
}



{
  "formula": "Mn2SiIrS",
  "functional": "PBE-GGA",
  "state": "optimized geometry",
  "magnetic_moment_mub_per_fu": 2.87,
  "e_form_raw_mev_per_atom": -176,
  "spacegroup": "Cm, No. 8",
  "lattice_angstrom": [[3.999, -1.417, 0.000], [3.999, 1.417, 0.000], [-0.031, 0.000, 5.943]],
  "species": ["Mn", "Mn", "Si", "Ir", "S"],
  "frac_coords": [[0.000, 0.000, 0.000], [0.728, 0.728, 0.214], [0.447, 0.447, 0.383], [0.158, 0.158, 0.575], [0.281, 0.281, 0.927]]
}



{
  "formula": "NaVFe3",
  "functional": "PBE-GGA",
  "state": "optimized geometry",
  "magnetic_moment_mub_per_fu": 4.78,
  "formation_enthalpy_0k_mev_per_atom": 1028,
  "spacegroup": "Pm-3m, No. 221",
  "lattice_angstrom": [[4.389, 0.000, 0.000], [0.000, 4.389, 0.000], [0.000, 0.000, 4.389]],
  "species": ["Na", "V", "Fe", "Fe", "Fe"],
  "frac_coords": [[0.000, 0.000, 0.000], [0.500, 0.500, 0.500], [0.000, 0.500, 0.500], [0.500, 0.000, 0.500], [0.500, 0.500, 0.000]]
}



{
  "formula": "Y3Al5Au6",
  "functional": "PBE-GGA",
  "state": "optimized geometry",
  "magnetic_moment_mub_per_fu": 0.00,
  "formation_enthalpy_0k_mev_per_atom": -701,
  "spacegroup": "Pmmn, No. 59",
  "lattice_angstrom": [[4.400, 0.000, 0.000], [0.000, 13.247, 0.000], [0.000, 0.000, 9.444]],
  "species": ["Y", "Y", "Y", "Y", "Y", "Y", "Al", "Al", "Al", "Al", "Al", "Al", "Al", "Al", "Al", "Al", "Au", "Au", "Au", "Au", "Au", "Au", "Au", "Au", "Au", "Au", "Au", "Au"],
  "frac_coords": [[0.250, 0.052, 0.248], [0.250, 0.448, 0.248], [0.250, 0.750, 0.263], [0.750, 0.250, 0.737], [0.750, 0.552, 0.752], [0.750, 0.948, 0.752], [0.250, 0.082, 0.606], [0.250, 0.418, 0.606], [0.250, 0.615, 0.978], [0.250, 0.750, 0.741], [0.250, 0.885, 0.978], [0.750, 0.115, 0.022], [0.750, 0.250, 0.259], [0.750, 0.385, 0.022], [0.750, 0.582, 0.394], [0.750, 0.918, 0.394], [0.250, 0.086, 0.876], [0.250, 0.250, 0.083], [0.250, 0.250, 0.454], [0.250, 0.414, 0.876], [0.250, 0.609, 0.532], [0.250, 0.891, 0.532], [0.750, 0.109, 0.468], [0.750, 0.391, 0.468], [0.750, 0.586, 0.124], [0.750, 0.750, 0.546], [0.750, 0.750, 0.917], [0.750, 0.914, 0.124]]
}



{
  "formula": "SmBeIr",
  "functional": "PBE-GGA",
  "state": "optimized geometry",
  "magnetic_moment_mub_per_fu": 0.00,
  "formation_enthalpy_0k_mev_per_atom": -603,
  "spacegroup": "P-6m2, No. 187",
  "lattice_angstrom": [[3.948, 0.000, 0.000], [-1.974, 3.419, 0.000], [0.000, 0.000, 4.124]],
  "species": ["Sm", "Be", "Ir"],
  "frac_coords": [[0.000, 0.000, 0.000], [0.333, 0.667, 0.500], [0.667, 0.333, 0.500]]
}



{
  "formula": "Ba2ReTeP",
  "functional": "PBE-GGA",
  "state": "optimized geometry",
  "magnetic_moment_mub_per_fu": 2.94,
  "e_form_raw_mev_per_atom": 577,
  "spacegroup": "P4/mmm, No. 123",
  "lattice_angstrom": [[6.504, 0.000, 0.000], [0.000, 6.504, 0.000], [0.000, 0.000, 4.926]],
  "species": ["Ba", "Ba", "Re", "Te", "P"],
  "frac_coords": [[0.000, 0.500, 0.000], [0.500, 0.000, 0.000], [0.000, 0.000, 0.500], [0.000, 0.000, 0.000], [0.500, 0.500, 0.500]]
}



{
  "formula": "AlPt2",
  "functional": "PBE-GGA",
  "state": "optimized geometry",
  "magnetic_moment_mub_per_fu": 0.00,
  "formation_enthalpy_0k_mev_per_atom": -774,
  "spacegroup": "Cmcm, No. 63",
  "lattice_angstrom": [[1.667, -6.357, 0.000], [1.667, 6.357, 0.000], [0.000, 0.000, 4.278]],
  "species": ["Al", "Al", "Pt", "Pt", "Pt", "Pt"],
  "frac_coords": [[0.084, 0.916, 0.750], [0.916, 0.084, 0.250], [0.269, 0.731, 0.250], [0.425, 0.575, 0.750], [0.575, 0.425, 0.250], [0.731, 0.269, 0.750]]
}



{
  "formula": "ZrTlNi2",
  "functional": "PBE-GGA",
  "state": "optimized geometry",
  "magnetic_moment_mub_per_fu": 0.00,
  "formation_enthalpy_0k_mev_per_atom": -23,
  "spacegroup": "P4mm, No. 99",
  "lattice_angstrom": [[3.252, 0.000, 0.000], [0.000, 3.252, 0.000], [0.000, 0.000, 6.457]],
  "species": ["Zr", "Tl", "Ni", "Ni"],
  "frac_coords": [[0.000, 0.000, 0.000], [0.500, 0.500, 0.641], [0.000, 0.000, 0.397], [0.500, 0.500, 0.213]]
}



{
  "formula": "RbSbPt",
  "functional": "PBE-GGA",
  "state": "optimized geometry",
  "magnetic_moment_mub_per_fu": 0.00,
  "e_form_raw_mev_per_atom": -172,
  "spacegroup": "C2/m, No. 12",
  "lattice_angstrom": [[7.999, -1.782, 0.000], [7.999, 1.782, 0.000], [-3.865, 0.000, 6.859]],
  "species": ["Rb", "Rb", "Sb", "Sb", "Pt", "Pt"],
  "frac_coords": [[0.143, 0.143, 0.143], [0.857, 0.857, 0.857], [0.110, 0.110, 0.609], [0.890, 0.890, 0.391], [0.500, 0.500, 0.315], [0.500, 0.500, 0.685]]
}



{
  "formula": "YHfCuTc2",
  "functional": "PBE-GGA",
  "state": "optimized geometry",
  "magnetic_moment_mub_per_fu": 0.00,
  "formation_enthalpy_0k_mev_per_atom": 1625,
  "spacegroup": "P4/mmm, No. 123",
  "lattice_angstrom": [[4.775, 0.000, 0.000], [0.000, 4.775, 0.000], [0.000, 0.000, 4.643]],
  "species": ["Y", "Hf", "Cu", "Tc", "Tc"],
  "frac_coords": [[0.000, 0.000, 0.000], [0.500, 0.500, 0.500], [0.000, 0.000, 0.500], [0.000, 0.500, 0.000], [0.500, 0.000, 0.000]]
}



{
  "formula": "K4HgBi3",
  "functional": "PBE-GGA",
  "state": "optimized geometry",
  "magnetic_moment_mub_per_fu": 0.00,
  "formation_enthalpy_0k_mev_per_atom": -316,
  "spacegroup": "Pmm2, No. 25",
  "lattice_angstrom": [[4.941, 0.000, 0.000], [0.000, 5.512, 0.000], [0.000, 0.000, 12.701]],
  "species": ["K", "K", "K", "K", "Hg", "Bi", "Bi", "Bi"],
  "frac_coords": [[0.000, 0.000, 0.000], [0.000, 0.500, 0.496], [0.500, 0.000, 0.272], [0.500, 0.500, 0.772], [0.500, 0.500, 0.065], [0.000, 0.000, 0.708], [0.000, 0.500, 0.197], [0.500, 0.000, 0.564]]
}